(1)
PSeS2F: optimized geometry, PBEsol.

Properties
- Raw formation energy: 0.783 eV per atom

Cell lengths 3.5780, 4.9244, 4.9244 Å; angles 90.00, 90.00, 90.00 degrees
Atoms (fractional coordinates):
S  0.0000  0.0000  0.5000
P  0.5000  0.0000  0.0000
S  0.0000  0.5000  0.0000
Se  0.5000  0.5000  0.5000
F  0.0000  0.0000  0.0000


(2)
SiPS2F: optimized geometry, PBEsol.

Properties
- Raw formation energy: 0.333 eV per atom

Cell lengths 4.3293, 4.3293, 4.5525 Å; angles 90.00, 90.00, 90.00 degrees
Atoms (fractional coordinates):
S  0.0000  0.5000  0.0000
P  0.0000  0.0000  0.5000
F  0.5000  0.5000  0.5000
S  0.5000  0.0000  0.0000
Si  0.0000  0.0000  0.0000


(3)
SnPS2F: optimized geometry, PBEsol.

Properties
- Raw formation energy: 0.742 eV per atom

Cell lengths 4.8568, 4.8568, 5.1979 Å; angles 90.00, 90.00, 90.00 degrees
Atoms (fractional coordinates):
Sn  0.0000  0.0000  0.0000
P  0.0000  0.0000  0.5000
S  0.0000  0.5000  0.0000
F  0.5000  0.5000  0.5000
S  0.5000  0.0000  0.0000


> Among the records above, which one has the lowest raw formation energy?

SiPS2F